(1)
TbThTcIr | PBE | optimized geometry

Results
- space-group type = F-43m, No. 216
- D(E_F) (states/eV/atom) = 0.901
- DFT formation energy (eV/atom) = -0.402

a b c (Å): 4.959 4.959 4.959
angles (deg): 60.00 60.00 60.00
Fractional positions:
Ir (0.750, 0.750, 0.750)
Tb (0.500, 0.500, 0.500)
Th (0.000, 0.000, 0.000)
Tc (0.250, 0.250, 0.250)

(2)
Pr2YCo9 | PBE | optimized geometry

Results
- space-group type = R-3m, No. 166
- D(E_F) (states/eV/atom) = 1.470
- DFT formation energy (eV/atom) = -0.058

a b c (Å): 5.017 5.017 8.831
angles (deg): 73.50 73.50 60.00
Each line ends with the local moment (μB).
Fractional positions:
Co (0.576, 0.082, 0.766)  1.30
Co (0.082, 0.576, 0.766)  1.30
Co (0.918, 0.424, 0.234)  1.30
Co (0.500, 0.500, 0.500)  1.00
Co (0.333, 0.333, 0.002)  1.47
Co (0.424, 0.918, 0.234)  1.30
Co (0.576, 0.576, 0.766)  1.30
Co (0.424, 0.424, 0.234)  1.30
Co (0.667, 0.667, 0.998)  1.47
Y (0.000, 0.000, 0.000)  -0.22
Pr (0.139, 0.139, 0.582)  -0.25
Pr (0.861, 0.861, 0.418)  -0.25

(3)
KRuO4F | PBE | optimized geometry

Results
- space-group type = C2/m, No. 12
- formation energy from raw total energies (eV per atom) = -1.190

a b c (Å): 6.226 6.226 7.837
angles (deg): 84.38 84.38 88.03
Each line ends with the local moment (μB).
Fractional positions:
Ru (0.660, 0.660, 0.744)  0.00
Ru (0.340, 0.340, 0.256)  0.00
O (0.224, 0.224, 0.450)  0.00
O (0.515, 0.175, 0.139)  0.01
O (0.175, 0.515, 0.139)  0.01
O (0.825, 0.485, 0.861)  0.01
O (0.776, 0.776, 0.550)  0.00
O (0.518, 0.518, 0.319)  0.01
O (0.482, 0.482, 0.681)  0.01
O (0.485, 0.825, 0.861)  0.01
K (0.834, 0.834, 0.176)  0.00
K (0.166, 0.166, 0.824)  0.00
F (0.883, 0.883, 0.840)  0.06
F (0.117, 0.117, 0.160)  0.06